(1)
# PmSmCl2 | Alexandria via LeMat-Bulk | PBE | optimized geometry
# Raw formation energy (eV/atom): -1.3289
# M_tot (μB/cell): 0.00
# SG: R-3m, No. 166
data_PmSmCl2
_chemical_formula_sum 'Pm1 Sm1 Cl2'
_cell_length_a 9.877
_cell_length_b 9.877
_cell_length_c 9.877
_cell_angle_alpha 21.29
_cell_angle_beta 21.29
_cell_angle_gamma 21.29
_space_group_name_H-M_alt 'P 1'
_space_group_IT_number 1
loop_
_space_group_symop_operation_xyz
'x,y,z'
loop_
_atom_site_label
_atom_site_fract_x
_atom_site_fract_y
_atom_site_fract_z
Pm1 0.000 0.000 0.000
Sm1 0.500 0.500 0.500
Cl1 0.403 0.403 0.403
Cl2 0.597 0.597 0.597



(2)
# Pm3SmCl | Alexandria via LeMat-Bulk | PBE | optimized geometry
# Raw formation energy (eV/atom): -0.5003
# M_tot (μB/cell): 0.00
# SG: Pm-3m, No. 221
data_Pm3SmCl
_chemical_formula_sum 'Pm3 Sm1 Cl1'
_cell_length_a 5.445
_cell_length_b 5.445
_cell_length_c 5.445
_cell_angle_alpha 90.00
_cell_angle_beta 90.00
_cell_angle_gamma 90.00
_space_group_name_H-M_alt 'P 1'
_space_group_IT_number 1
loop_
_space_group_symop_operation_xyz
'x,y,z'
loop_
_atom_site_label
_atom_site_fract_x
_atom_site_fract_y
_atom_site_fract_z
Pm1 0.000 0.000 0.500
Pm2 0.000 0.500 0.000
Pm3 0.500 0.000 0.000
Sm1 0.500 0.500 0.500
Cl1 0.000 0.000 0.000



(3)
# Pm2SmCl8 | Alexandria via LeMat-Bulk | PBE | optimized geometry
# Raw formation energy (eV/atom): -2.0354
# M_tot (μB/cell): 1.06
# SG: C2/m, No. 12
data_Pm2SmCl8
_chemical_formula_sum 'Pm2 Sm1 Cl8'
_cell_length_a 7.506
_cell_length_b 7.506
_cell_length_c 5.462
_cell_angle_alpha 99.70
_cell_angle_beta 99.70
_cell_angle_gamma 111.60
_space_group_name_H-M_alt 'P 1'
_space_group_IT_number 1
loop_
_space_group_symop_operation_xyz
'x,y,z'
loop_
_atom_site_label
_atom_site_fract_x
_atom_site_fract_y
_atom_site_fract_z
Pm1 0.185 0.815 0.000
Pm2 0.815 0.185 0.000
Sm1 0.500 0.500 0.500
Cl1 0.138 0.138 0.322
Cl2 0.177 0.433 0.920
Cl3 0.271 0.729 0.500
Cl4 0.433 0.177 0.920
Cl5 0.567 0.823 0.080
Cl6 0.729 0.271 0.500
Cl7 0.823 0.567 0.080
Cl8 0.862 0.862 0.678



(4)
# PmSmTeCl | Alexandria via LeMat-Bulk | PBE | optimized geometry
# Raw formation energy (eV/atom): -1.2703
# M_tot (μB/cell): 0.00
# SG: F-43m, No. 216
data_PmSmTeCl
_chemical_formula_sum 'Pm1 Sm1 Te1 Cl1'
_cell_length_a 5.264
_cell_length_b 5.264
_cell_length_c 5.264
_cell_angle_alpha 60.00
_cell_angle_beta 60.00
_cell_angle_gamma 60.00
_space_group_name_H-M_alt 'P 1'
_space_group_IT_number 1
loop_
_space_group_symop_operation_xyz
'x,y,z'
loop_
_atom_site_label
_atom_site_fract_x
_atom_site_fract_y
_atom_site_fract_z
Pm1 0.000 0.000 0.000
Sm1 0.500 0.500 0.500
Te1 0.250 0.250 0.250
Cl1 0.750 0.750 0.750



DFT total energy for every record listed, in sequence, given in eV per atom: -4.620, -4.664, -4.671, -4.885.